# 1
# SrTlN3, optimized geometry, DFT PBE
# Formation energy (no corrections), meV/atom: 1350.0
# D(E_F), states/eV per cell: 4.06
# Mass density, g/cm3: 6.6
data_SrTlN3
_chemical_formula_sum 'Sr1 Tl1 N3'
_symmetry_space_group_name_H-M 'P 1'
_symmetry_Int_Tables_number 1
_cell_length_a 4.381
_cell_length_b 4.381
_cell_length_c 4.381
_cell_angle_alpha 90.00
_cell_angle_beta 90.00
_cell_angle_gamma 90.00
loop_
_symmetry_equiv_pos_as_xyz
'x,y,z'
loop_
_atom_site_label
_atom_site_fract_x
_atom_site_fract_y
_atom_site_fract_z
_atom_site_occupancy
Sr1 0.000 0.000 0.000 1
Tl1 0.500 0.500 0.500 1
N1 0.000 0.500 0.500 1
N2 0.500 0.000 0.500 1
N3 0.500 0.500 0.000 1


# 2
# SrTlN2, optimized geometry, DFT PBE
# Formation energy (no corrections), meV/atom: 794.8
# D(E_F), states/eV per cell: 2.51
# Mass density, g/cm3: 8.3
data_SrTlN2
_chemical_formula_sum 'Sr1 Tl1 N2'
_symmetry_space_group_name_H-M 'P 1'
_symmetry_Int_Tables_number 1
_cell_length_a 4.486
_cell_length_b 4.486
_cell_length_c 4.486
_cell_angle_alpha 60.00
_cell_angle_beta 60.00
_cell_angle_gamma 60.00
loop_
_symmetry_equiv_pos_as_xyz
'x,y,z'
loop_
_atom_site_label
_atom_site_fract_x
_atom_site_fract_y
_atom_site_fract_z
_atom_site_occupancy
Sr1 0.000 0.000 0.000 1
Tl1 0.500 0.500 0.500 1
N1 0.250 0.250 0.250 1
N2 0.750 0.750 0.750 1


# 3
# Sr2TlN, optimized geometry, DFT PBE
# Formation energy (no corrections), meV/atom: -483.0
# D(E_F), states/eV per cell: 2.30
# Mass density, g/cm3: 5.8
data_Sr2TlN
_chemical_formula_sum 'Sr4 Tl2 N2'
_symmetry_space_group_name_H-M 'P 1'
_symmetry_Int_Tables_number 1
_cell_length_a 6.572
_cell_length_b 3.768
_cell_length_c 9.327
_cell_angle_alpha 90.00
_cell_angle_beta 103.36
_cell_angle_gamma 90.00
loop_
_symmetry_equiv_pos_as_xyz
'x,y,z'
loop_
_atom_site_label
_atom_site_fract_x
_atom_site_fract_y
_atom_site_fract_z
_atom_site_occupancy
Sr1 0.033 0.250 0.347 1
Sr2 0.467 0.250 0.653 1
Sr3 0.533 0.750 0.347 1
Sr4 0.967 0.750 0.653 1
Tl1 0.250 0.250 0.000 1
Tl2 0.750 0.750 0.000 1
N1 0.250 0.750 0.500 1
N2 0.750 0.250 0.500 1


Which of these has the highest D(E_F)?
SrTlN3